Record 1
A plane-wave DFT calculation with PBE-GGA was carried out for a geometry-optimized La2Pr5Sc2 structure.

Properties
Space-group type = No. 12
V = 303.8 Å³/cell
Calculated total energy = -5.112 eV per atom

a b c (Å): 3.689 10.351 9.560
angles (deg): 58.42 78.88 79.74
Fractional positions:
La  0.134  0.352  0.381
La  0.866  0.648  0.619
Pr  0.336  0.991  0.337
Pr  0.664  0.009  0.663
Pr  0.185  0.669  0.960
Pr  0.815  0.331  0.040
Pr  0.000  0.000  0.000
Sc  0.481  0.321  0.717
Sc  0.519  0.679  0.283

---

Record 2
A plane-wave DFT calculation with PBE-GGA was carried out for a geometry-optimized La3Pr6Sc2 structure.

Properties
Space-group type = No. 12
V = 379.6 Å³/cell
Calculated total energy = -4.974 eV per atom

a b c (Å): 5.886 6.781 12.083
angles (deg): 77.81 60.89 64.28
Fractional positions:
La  0.000  0.000  0.000
La  0.293  0.414  0.000
La  0.707  0.586  0.000
Pr  0.470  0.701  0.681
Pr  0.714  0.000  0.787
Pr  0.170  0.299  0.681
Pr  0.286  0.000  0.213
Pr  0.530  0.299  0.319
Pr  0.830  0.701  0.319
Sc  0.127  0.745  0.500
Sc  0.873  0.255  0.500

---

Record 3
A plane-wave DFT calculation with PBE-GGA was carried out for a geometry-optimized La6Pr12Sc structure.

Properties
Space-group type = No. 148
V = 684.8 Å³/cell
Calculated total energy = -4.798 eV per atom

a b c (Å): 8.814 8.814 8.814
angles (deg): 89.88 89.88 89.88
Fractional positions:
La  0.735  0.906  0.293
La  0.707  0.265  0.094
La  0.094  0.707  0.265
La  0.265  0.094  0.707
La  0.293  0.735  0.906
La  0.906  0.293  0.735
Pr  0.784  0.530  0.438
Pr  0.438  0.784  0.530
Pr  0.530  0.438  0.784
Pr  0.216  0.470  0.562
Pr  0.562  0.216  0.470
Pr  0.470  0.562  0.216
Pr  0.025  0.176  0.362
Pr  0.824  0.638  0.975
Pr  0.638  0.975  0.824
Pr  0.975  0.824  0.638
Pr  0.176  0.362  0.025
Pr  0.362  0.025  0.176
Sc  0.000  0.000  0.000

---

Record 4
A plane-wave DFT calculation with PBE-GGA was carried out for a geometry-optimized La5Pr6Sc2 structure.

Properties
Space-group type = No. 55
V = 911.1 Å³/cell
Calculated total energy = -4.952 eV per atom

a b c (Å): 3.576 11.029 23.099
angles (deg): 90.00 90.00 90.00
Fractional positions:
La  0.500  0.331  0.497
La  0.500  0.669  0.503
La  0.500  0.831  0.003
La  0.500  0.169  0.997
La  0.500  0.586  0.252
La  0.500  0.414  0.748
La  0.500  0.086  0.248
La  0.500  0.914  0.752
La  0.500  0.500  0.000
La  0.500  0.000  0.500
Pr  0.000  0.144  0.382
Pr  0.000  0.856  0.618
Pr  0.000  0.644  0.118
Pr  0.000  0.356  0.882
Pr  0.500  0.336  0.140
Pr  0.500  0.664  0.860
Pr  0.500  0.836  0.360
Pr  0.500  0.164  0.640
Pr  0.000  0.525  0.386
Pr  0.000  0.475  0.614
Pr  0.000  0.025  0.114
Pr  0.000  0.975  0.886
Sc  0.000  0.336  0.269
Sc  0.000  0.664  0.731
Sc  0.000  0.836  0.231
Sc  0.000  0.164  0.769

---

Record 5
A plane-wave DFT calculation with PBE-GGA was carried out for a geometry-optimized LaPr2Sc structure.

Properties
Space-group type = No. 123
V = 133.1 Å³/cell
Excess energy over the best structure of this formula in the dataset = 0.012 eV per atom
Calculated total energy = -5.154 eV per atom

a b c (Å): 3.655 3.655 9.960
angles (deg): 90.00 90.00 90.00
Fractional positions:
Pr  0.000  0.000  0.769
Pr  0.000  0.000  0.231
Sc  0.500  0.500  0.000
La  0.500  0.500  0.500

---

Record 6
A plane-wave DFT calculation with PBE-GGA was carried out for a geometry-optimized La4Pr6Sc structure.

Properties
Space-group type = No. 128
V = 773.1 Å³/cell
Calculated total energy = -4.892 eV per atom

a b c (Å): 8.869 8.869 9.829
angles (deg): 90.00 90.00 90.00
Fractional positions:
La  0.354  0.146  0.250
La  0.146  0.646  0.750
La  0.646  0.854  0.750
La  0.854  0.354  0.750
La  0.354  0.146  0.750
La  0.146  0.646  0.250
La  0.854  0.354  0.250
La  0.646  0.854  0.250
Pr  0.339  0.850  0.500
Pr  0.839  0.650  0.000
Pr  0.650  0.161  0.000
Pr  0.150  0.339  0.500
Pr  0.000  0.000  0.170
Pr  0.500  0.500  0.330
Pr  0.350  0.839  0.000
Pr  0.000  0.000  0.830
Pr  0.161  0.350  0.000
Pr  0.500  0.500  0.670
Pr  0.850  0.661  0.500
Pr  0.661  0.150  0.500
Sc  0.500  0.500  0.000
Sc  0.000  0.000  0.500

---

Record 7
A plane-wave DFT calculation with PBE-GGA was carried out for a geometry-optimized La4Pr5Sc2 structure.

Properties
Space-group type = No. 12
V = 379.8 Å³/cell
Calculated total energy = -5.040 eV per atom

a b c (Å): 3.693 9.379 12.106
angles (deg): 66.74 98.77 90.00
Fractional positions:
La  0.172  0.044  0.343
La  0.021  0.298  0.041
La  0.828  0.956  0.657
La  0.979  0.702  0.959
Pr  0.876  0.274  0.751
Pr  0.124  0.726  0.249
Pr  0.762  0.663  0.525
Pr  0.500  0.000  0.000
Pr  0.238  0.337  0.475
Sc  0.606  0.436  0.212
Sc  0.394  0.564  0.788

---

Record 8
A plane-wave DFT calculation with PBE-GGA was carried out for a geometry-optimized La4Pr5Sc structure.

Properties
Space-group type = No. 12
V = 353.2 Å³/cell
Excess energy over the best structure of this formula in the dataset = 0.000 eV per atom
Calculated total energy = -4.922 eV per atom

a b c (Å): 3.611 11.788 12.259
angles (deg): 136.15 98.47 90.00
Fractional positions:
La  0.604  0.915  0.208
La  0.089  0.377  0.179
La  0.396  0.085  0.792
La  0.911  0.623  0.821
Pr  0.202  0.299  0.405
Pr  0.192  0.796  0.384
Pr  0.808  0.204  0.616
Pr  0.500  0.500  0.000
Pr  0.798  0.701  0.595
Sc  0.500  0.000  0.000

---

Record 9
A plane-wave DFT calculation with PBE-GGA was carried out for a geometry-optimized La2Pr8Sc structure.

Properties
Space-group type = No. 71
V = 392.7 Å³/cell
Excess energy over the best structure of this formula in the dataset = 0.080 eV per atom
Calculated total energy = -4.840 eV per atom

a b c (Å): 5.831 8.160 9.658
angles (deg): 114.99 107.57 90.00
Fractional positions:
La  0.201  0.701  0.402
La  0.799  0.299  0.598
Pr  0.629  0.839  0.258
Pr  0.371  0.581  0.742
Pr  0.162  0.162  0.325
Pr  0.000  0.280  0.000
Pr  0.838  0.838  0.675
Pr  0.629  0.419  0.258
Pr  0.371  0.161  0.742
Pr  0.000  0.720  0.000
Sc  0.500  0.000  0.000

---

Record 10
A plane-wave DFT calculation with PBE-GGA was carried out for a geometry-optimized LaPr2ScSe4 structure.

Properties
Space-group type = No. 10
V = 208.3 Å³/cell
Calculated total energy = -6.128 eV per atom
ΔE_f (raw) = -1.7835 eV per atom

a b c (Å): 4.137 7.263 7.323
angles (deg): 108.77 90.00 90.00
Fractional positions:
La  0.500  0.500  0.000
Pr  0.500  0.000  0.500
Pr  0.000  0.500  0.500
Sc  0.000  0.000  0.000
Se  0.500  0.228  0.229
Se  0.500  0.772  0.771
Se  0.000  0.238  0.760
Se  0.000  0.762  0.240

---

Record 11
A plane-wave DFT calculation with PBE-GGA was carried out for a geometry-optimized La4Pr3ScSe8 structure.

Properties
Space-group type = No. 166
V = 433.8 Å³/cell
Calculated total energy = -6.136 eV per atom
ΔE_f (raw) = -1.8700 eV per atom

a b c (Å): 8.514 8.480 8.514
angles (deg): 120.14 120.00 90.00
Fractional positions:
La  0.500  0.000  0.000
La  0.500  0.000  0.500
La  0.000  0.000  0.000
La  0.000  0.000  0.500
Pr  0.500  0.500  0.000
Pr  0.500  0.500  0.500
Pr  0.000  0.500  0.500
Sc  0.000  0.500  0.000
Se  0.238  0.737  0.999
Se  0.238  0.737  0.477
Se  0.251  0.252  0.501
Se  0.761  0.737  0.999
Se  0.239  0.263  0.001
Se  0.749  0.748  0.499
Se  0.762  0.263  0.523
Se  0.762  0.263  0.001

---

Record 12
A plane-wave DFT calculation with PBE-GGA was carried out for a geometry-optimized La3Pr2ScSe6 structure.

Properties
Space-group type = No. 12
V = 321.2 Å³/cell
Calculated total energy = -6.158 eV per atom
ΔE_f (raw) = -1.8599 eV per atom

a b c (Å): 4.221 8.498 9.429
angles (deg): 102.63 102.93 90.00
Fractional positions:
La  0.500  0.500  0.000
La  0.829  0.164  0.657
La  0.171  0.836  0.343
Pr  0.834  0.667  0.667
Pr  0.166  0.333  0.333
Sc  0.500  0.000  0.000
Se  0.344  0.921  0.688
Se  0.667  0.583  0.334
Se  0.656  0.079  0.312
Se  0.998  0.227  0.996
Se  0.002  0.773  0.004
Se  0.333  0.417  0.666

---

Record 13
A plane-wave DFT calculation with PBE-GGA was carried out for a geometry-optimized La2PrScSe6 structure.

Properties
Space-group type = No. 14
V = 569.3 Å³/cell
Calculated total energy = -6.075 eV per atom
ΔE_f (raw) = -1.8873 eV per atom

a b c (Å): 7.023 7.746 10.471
angles (deg): 90.00 88.07 90.00
Fractional positions:
La  0.042  0.898  0.256
La  0.542  0.602  0.756
La  0.958  0.102  0.744
La  0.458  0.398  0.244
Pr  0.500  0.000  0.500
Pr  0.000  0.500  0.000
Sc  0.500  0.000  0.000
Sc  0.000  0.500  0.500
Se  0.338  0.694  0.071
Se  0.838  0.806  0.571
Se  0.662  0.306  0.929
Se  0.162  0.194  0.429
Se  0.313  0.676  0.427
Se  0.813  0.824  0.927
Se  0.687  0.324  0.573
Se  0.187  0.176  0.073
Se  0.854  0.549  0.264
Se  0.354  0.951  0.764
Se  0.146  0.451  0.736
Se  0.646  0.049  0.236

---

Record 14
A plane-wave DFT calculation with PBE-GGA was carried out for a geometry-optimized La3Pr3ScSe8 structure.

Properties
Space-group type = No. 166
V = 435.1 Å³/cell
Calculated total energy = -6.126 eV per atom
ΔE_f (raw) = -1.9041 eV per atom

a b c (Å): 8.485 8.485 8.526
angles (deg): 119.84 90.00 120.00
Fractional positions:
La  0.000  0.000  0.000
La  0.000  0.500  0.000
La  0.500  0.500  0.000
Pr  0.500  0.000  0.500
Pr  0.500  0.500  0.500
Pr  0.000  0.500  0.500
Sc  0.000  0.000  0.500
Se  0.250  0.501  0.251
Se  0.750  0.499  0.749
Se  0.765  0.530  0.266
Se  0.235  0.470  0.734
Se  0.765  0.001  0.266
Se  0.235  0.999  0.734
Se  0.236  0.001  0.266
Se  0.764  0.999  0.734

---

Record 15
A plane-wave DFT calculation with PBE-GGA was carried out for a geometry-optimized La2Pr3ScSe6 structure.

Properties
Space-group type = No. 12
V = 319.9 Å³/cell
Calculated total energy = -6.116 eV per atom
ΔE_f (raw) = -1.8302 eV per atom

a b c (Å): 4.204 8.509 9.432
angles (deg): 103.14 102.88 90.00
Fractional positions:
La  0.835  0.668  0.670
La  0.165  0.332  0.330
Pr  0.500  0.500  0.000
Pr  0.829  0.164  0.658
Pr  0.171  0.836  0.342
Sc  0.500  0.000  0.000
Se  0.344  0.923  0.687
Se  0.667  0.585  0.333
Se  0.656  0.077  0.313
Se  0.997  0.228  0.994
Se  0.003  0.772  0.006
Se  0.333  0.415  0.667

---

Record 16
A plane-wave DFT calculation with PBE-GGA was carried out for a geometry-optimized LaPr5Sm2Sc structure.

Properties
Space-group type = No. 140
V = 630.1 Å³/cell
Calculated total energy = -4.673 eV per atom

a b c (Å): 9.110 9.110 9.957
angles (deg): 117.23 117.23 90.00
Fractional positions:
La  0.250  0.250  0.500
La  0.750  0.750  0.500
Pr  0.936  0.436  0.277
Pr  0.659  0.159  0.723
Pr  0.064  0.564  0.723
Pr  0.159  0.064  0.723
Pr  0.564  0.659  0.723
Pr  0.841  0.936  0.277
Pr  0.436  0.341  0.277
Pr  0.341  0.841  0.277
Pr  0.500  0.500  0.000
Pr  0.000  0.000  0.000
Sm  0.115  0.385  0.000
Sm  0.615  0.115  0.000
Sm  0.385  0.885  0.000
Sm  0.885  0.615  0.000
Sc  0.250  0.750  0.500
Sc  0.750  0.250  0.500

---

Record 17
A plane-wave DFT calculation with PBE-GGA was carried out for a geometry-optimized La5Pr2SmSc structure.

Properties
Space-group type = No. 127
V = 645.9 Å³/cell
Calculated total energy = -4.771 eV per atom

a b c (Å): 8.803 8.566 8.566
angles (deg): 90.00 90.00 90.00
Fractional positions:
La  0.500  0.500  0.500
La  0.500  0.000  0.000
La  0.213  0.218  0.718
La  0.213  0.782  0.282
La  0.213  0.282  0.218
La  0.213  0.718  0.782
La  0.787  0.218  0.718
La  0.787  0.718  0.782
La  0.787  0.782  0.282
La  0.787  0.282  0.218
Pr  0.500  0.625  0.125
Pr  0.500  0.125  0.375
Pr  0.500  0.875  0.625
Pr  0.500  0.375  0.875
Sm  0.000  0.500  0.500
Sm  0.000  0.000  0.000
Sc  0.000  0.000  0.500
Sc  0.000  0.500  0.000

---

Record 18
A plane-wave DFT calculation with PBE-GGA was carried out for a geometry-optimized LaPr2Sm4Sc structure.

Properties
Space-group type = No. 10
V = 267.4 Å³/cell
Calculated total energy = -4.833 eV per atom

a b c (Å): 6.010 9.544 6.006
angles (deg): 50.93 90.00 90.00
Fractional positions:
La  0.500  0.500  0.000
Pr  0.000  0.000  0.000
Pr  0.500  0.000  0.500
Sm  0.000  0.740  0.761
Sm  0.000  0.260  0.239
Sm  0.500  0.740  0.258
Sm  0.500  0.260  0.742
Sc  0.000  0.500  0.500

---

Record 19
A plane-wave DFT calculation with PBE-GGA was carried out for a geometry-optimized LaPr4Sm2Sc structure.

Properties
Space-group type = No. 10
V = 272.7 Å³/cell
Calculated total energy = -4.947 eV per atom

a b c (Å): 5.152 11.515 5.133
angles (deg): 63.59 90.00 90.00
Fractional positions:
La  0.500  0.500  0.000
Pr  0.000  0.746  0.754
Pr  0.000  0.254  0.246
Pr  0.500  0.747  0.253
Pr  0.500  0.253  0.747
Sm  0.000  0.000  0.000
Sm  0.500  0.000  0.500
Sc  0.000  0.500  0.500

---

| no. | M_tot (μB/f.u.) |
| --- | --- |
| 1 | 0.00 |
| 2 | 0.00 |
| 3 | 0.00 |
| 4 | 0.00 |
| 5 | 0.00 |
| 6 | 0.00 |
| 7 | 0.00 |
| 8 | 0.00 |
| 9 | 0.00 |
| 10 | 0.00 |
| 11 | 0.00 |
| 12 | 0.00 |
| 13 | 0.00 |
| 14 | 0.00 |
| 15 | 0.00 |
| 16 | 0.00 |
| 17 | 0.00 |
| 18 | 0.00 |
| 19 | 0.00 |